Crystalline SmHo3 at its relaxed geometry, computed with PBEsol.

CIF file:
```
data_SmHo3
_chemical_formula_sum 'Sm2 Ho6'
_symmetry_space_group_name_H-M 'I 4/m m m'
_symmetry_Int_Tables_number 139
_symmetry_space_group_name_Hall '-I 4 2'
_cell_length_a 4.911
_cell_length_b 4.911
_cell_length_c 9.825
_cell_angle_alpha 90.00
_cell_angle_beta 90.00
_cell_angle_gamma 90.00
loop_
_atom_site_label
_atom_site_type_symbol
_atom_site_fract_x
_atom_site_fract_y
_atom_site_fract_z
Sm1 Sm 0.000 0.000 0.000
Ho1 Ho 0.000 0.000 0.500
Ho2 Ho 0.000 0.500 0.250
```

Properties
Energy of formation: 5 kJ/mol of formula units
Spin magnetization: 0.0 μB per formula unit